No. 1
First-principles (PBE) data for a relaxed structure of Pm3Pr6Sm2Ho, as listed in Alexandria via LeMat-Bulk.

CIF file:
```
data_Pm3Pr6Sm2Ho
_symmetry_space_group_name_H-M 'C 1 2/m 1'
_symmetry_Int_Tables_number 12
_symmetry_space_group_name_Hall '-C 2y'
_cell_length_a 6.367
_cell_length_b 11.031
_cell_length_c 12.112
_cell_angle_alpha 90.00
_cell_angle_beta 100.11
_cell_angle_gamma 90.00
loop_
_atom_site_label
_atom_site_type_symbol
_atom_site_fract_x
_atom_site_fract_y
_atom_site_fract_z
Pm1 Pm 0.000 0.000 0.000
Pm2 Pm 0.000 0.333 0.000
Pr1 Pr 0.249 0.334 0.748
Pr2 Pr 0.250 0.000 0.749
Sm1 Sm 0.000 0.167 0.500
Ho1 Ho 0.000 0.500 0.500
```

Calculated values
Total moment in Bohr magnetons per cell: 0.0
Formation energy from the elements in eV per atom: 0.01
D(E_F) in states/eV per atom: 1.42
Final energy in eV for the cell shown: -113.595
Calculated density in Mg/m³: 6.9

No. 2
First-principles (PBE) data for a relaxed structure of Pm2PrSm6Ho3, as listed in Alexandria via LeMat-Bulk.

CIF file:
```
data_Pm2PrSm6Ho3
_symmetry_space_group_name_H-M 'C 1 2/m 1'
_symmetry_Int_Tables_number 12
_symmetry_space_group_name_Hall '-C 2y'
_cell_length_a 6.263
_cell_length_b 10.847
_cell_length_c 11.966
_cell_angle_alpha 90.00
_cell_angle_beta 100.04
_cell_angle_gamma 90.00
loop_
_atom_site_label
_atom_site_type_symbol
_atom_site_fract_x
_atom_site_fract_y
_atom_site_fract_z
Pm1 Pm 0.000 0.167 0.000
Pr1 Pr 0.000 0.500 0.000
Sm1 Sm 0.248 0.167 0.746
Sm2 Sm 0.249 0.500 0.746
Ho1 Ho 0.000 0.000 0.500
Ho2 Ho 0.000 0.333 0.500
```

Calculated values
Total moment in Bohr magnetons per cell: 0.0
Formation energy from the elements in eV per atom: 0.02
D(E_F) in states/eV per atom: 1.34
Final energy in eV for the cell shown: -112.263
Calculated density in Mg/m³: 7.6